A plane-wave DFT calculation with GGA-PBE was carried out for an optimized crystal structure of TeSe2SN.

Structure (extended XYZ):
```
5
Lattice="5.343 0.000 0.000 0.000 5.343 0.000 0.000 0.000 3.389" Properties=species:S:1:pos:R:3 pbc="T T T"
Te 0.000 0.000 0.000
Se 0.000 2.672 1.695
Se 2.672 0.000 1.695
S 2.672 2.672 1.695
N 2.672 2.672 0.000
```

Results
The calculation puts the formation energy from raw total energies at 904 meV/atom. Its energy above the most stable polymorph in this dataset is 0 kJ/mol of formula units. As for the total energy: -3.61 eV/atom. As for the space group: P4/mmm (123).